[1]
First-principles (PBE-GGA) data for a geometry-optimized La2Sc2Pb structure, as listed in Alexandria.

Structure (CIF):
```
data_La2Sc2Pb
_space_group_name_H-M_alt 'P 4/m b m'
_space_group_IT_number 127
_space_group_name_Hall '-P 4 2ab'
_cell_length_a 7.848
_cell_length_b 7.848
_cell_length_c 4.882
_cell_angle_alpha 90.00
_cell_angle_beta 90.00
_cell_angle_gamma 90.00
loop_
_atom_site_label
_atom_site_type_symbol
_atom_site_fract_x
_atom_site_fract_y
_atom_site_fract_z
_atom_site_occupancy
La1 La 0.157 0.343 0.000 1
Sc1 Sc 0.143 0.643 0.500 1
Pb1 Pb 0.000 0.000 0.500 1
```

E above lowest polymorph in meV per atom: 0.0
E_form in kJ/mol of atoms: -16.2

---

[2]
First-principles (PBE-GGA) data for a geometry-optimized CaRe3N structure, as listed in Alexandria.

Structure (CIF):
```
data_CaRe3N
_space_group_name_H-M_alt 'P m -3 m'
_space_group_IT_number 221
_space_group_name_Hall '-P 4 2 3'
_cell_length_a 4.586
_cell_length_b 4.586
_cell_length_c 4.586
_cell_angle_alpha 90.00
_cell_angle_beta 90.00
_cell_angle_gamma 90.00
loop_
_atom_site_label
_atom_site_type_symbol
_atom_site_fract_x
_atom_site_fract_y
_atom_site_fract_z
_atom_site_occupancy
Ca1 Ca 0.000 0.000 0.000 1
Re1 Re 0.000 0.000 0.500 1
N1 N 0.500 0.500 0.500 1
```

ΔE_f (raw) in meV per atom: 4556
E above lowest polymorph in meV per atom: 3981.3

---

[3]
First-principles (PBE-GGA) data for a geometry-optimized KTeAu2 structure, as listed in Alexandria.

Structure (CIF):
```
data_KTeAu2
_space_group_name_H-M_alt 'I -4 m 2'
_space_group_IT_number 119
_space_group_name_Hall 'I -4 -2'
_cell_length_a 4.829
_cell_length_b 4.829
_cell_length_c 8.445
_cell_angle_alpha 90.00
_cell_angle_beta 90.00
_cell_angle_gamma 90.00
loop_
_atom_site_label
_atom_site_type_symbol
_atom_site_fract_x
_atom_site_fract_y
_atom_site_fract_z
_atom_site_occupancy
K1 K 0.000 0.000 0.000 1
Te1 Te 0.000 0.500 0.750 1
Au1 Au 0.000 0.000 0.500 1
Au2 Au 0.000 0.500 0.250 1
```

ΔE_f (raw) in meV per atom: 18

---

[4]
First-principles (PBE-GGA) data for a geometry-optimized Mg6Cd3Sn structure, as listed in Alexandria.

Structure (CIF):
```
data_Mg6Cd3Sn
_space_group_name_H-M_alt 'C m c 21'
_space_group_IT_number 36
_cell_length_a 11.731
_cell_length_b 13.484
_cell_length_c 5.938
_cell_angle_alpha 90.00
_cell_angle_beta 90.00
_cell_angle_gamma 90.00
loop_
_space_group_symop_operation_xyz
'x,y,z'
'-x,-y,z+1/2'
'-x,y,z'
'x,-y,z+1/2'
'x+1/2,y+1/2,z'
'-x+1/2,-y+1/2,z+1/2'
'-x+1/2,y+1/2,z'
'x+1/2,-y+1/2,z+1/2'
loop_
_atom_site_label
_atom_site_type_symbol
_atom_site_fract_x
_atom_site_fract_y
_atom_site_fract_z
_atom_site_occupancy
Mg1 Mg 0.000 0.069 0.000 1
Mg2 Mg 0.000 0.305 0.277 1
Mg3 Mg 0.222 0.488 0.258 1
Mg4 Mg 0.225 0.208 0.033 1
Cd1 Cd 0.000 0.497 0.521 1
Cd2 Cd 0.124 0.126 0.476 1
Sn1 Sn 0.000 0.284 0.781 1
```

E above lowest polymorph in meV per atom: 61.1
E_form in kJ/mol of atoms: -2.5

---

[5]
First-principles (PBE-GGA) data for a geometry-optimized KPmNb2O8 structure, as listed in Alexandria.

Structure (CIF):
```
data_KPmNb2O8
_space_group_name_H-M_alt 'I -4 m 2'
_space_group_IT_number 119
_space_group_name_Hall 'I -4 -2'
_cell_length_a 7.806
_cell_length_b 7.806
_cell_length_c 6.899
_cell_angle_alpha 90.00
_cell_angle_beta 90.00
_cell_angle_gamma 90.00
loop_
_atom_site_label
_atom_site_type_symbol
_atom_site_fract_x
_atom_site_fract_y
_atom_site_fract_z
_atom_site_occupancy
K1 K 0.000 0.000 0.000 1
Pm1 Pm 0.000 0.500 0.250 1
Nb1 Nb 0.000 0.000 0.500 1
Nb2 Nb 0.000 0.500 0.750 1
O1 O 0.000 0.201 0.349 1
O2 O 0.000 0.324 0.935 1
```

ΔE_f (raw) in meV per atom: -2214

---

[6]
First-principles (PBE-GGA) data for a geometry-optimized Zr2CuReH structure, as listed in Alexandria.

Structure (CIF):
```
data_Zr2CuReH
_space_group_name_H-M_alt 'P 4/m m m'
_space_group_IT_number 123
_space_group_name_Hall '-P 4 2'
_cell_length_a 4.596
_cell_length_b 4.596
_cell_length_c 3.472
_cell_angle_alpha 90.00
_cell_angle_beta 90.00
_cell_angle_gamma 90.00
loop_
_atom_site_label
_atom_site_type_symbol
_atom_site_fract_x
_atom_site_fract_y
_atom_site_fract_z
_atom_site_occupancy
Zr1 Zr 0.000 0.500 0.000 1
Cu1 Cu 0.000 0.000 0.500 1
Re1 Re 0.500 0.500 0.500 1
H1 H 0.000 0.000 0.000 1
```

E above lowest polymorph in meV per atom: 0.0

---

[7]
First-principles (PBE-GGA) data for a geometry-optimized AlInFe2 structure, as listed in Alexandria.

Structure (CIF):
```
data_AlInFe2
_space_group_name_H-M_alt 'P 4/m m m'
_space_group_IT_number 123
_space_group_name_Hall '-P 4 2'
_cell_length_a 3.925
_cell_length_b 3.925
_cell_length_c 3.795
_cell_angle_alpha 90.00
_cell_angle_beta 90.00
_cell_angle_gamma 90.00
loop_
_atom_site_label
_atom_site_type_symbol
_atom_site_fract_x
_atom_site_fract_y
_atom_site_fract_z
_atom_site_occupancy
Al1 Al 0.000 0.000 0.000 1
In1 In 0.500 0.500 0.000 1
Fe1 Fe 0.000 0.500 0.500 1
```

E_form in kJ/mol of atoms: 11.2

---

[8]
First-principles (PBE-GGA) data for a geometry-optimized Pm2Pr5Ho2 structure, as listed in Alexandria.

Structure (CIF):
```
data_Pm2Pr5Ho2
_space_group_name_H-M_alt 'C 1 2/m 1'
_space_group_IT_number 12
_cell_length_a 11.593
_cell_length_b 5.175
_cell_length_c 10.967
_cell_angle_alpha 90.00
_cell_angle_beta 108.53
_cell_angle_gamma 90.00
loop_
_space_group_symop_operation_xyz
'x,y,z'
'-x,-y,-z'
'-x,y,-z'
'x,-y,z'
'x+1/2,y+1/2,z'
'-x+1/2,-y+1/2,-z'
'-x+1/2,y+1/2,-z'
'x+1/2,-y+1/2,z'
loop_
_atom_site_label
_atom_site_type_symbol
_atom_site_fract_x
_atom_site_fract_y
_atom_site_fract_z
_atom_site_occupancy
Pm1 Pm 0.001 0.000 0.168 1
Pr1 Pr 0.000 0.000 0.500 1
Pr2 Pr 0.166 0.500 0.389 1
Pr3 Pr 0.167 0.500 0.055 1
Ho1 Ho 0.167 0.500 0.723 1
```

E above lowest polymorph in meV per atom: 0.0
E_form in kJ/mol of atoms: 1.6

---

[9]
First-principles (PBE-GGA) data for a geometry-optimized BeTcAs2Br structure, as listed in Alexandria.

Structure (CIF):
```
data_BeTcAs2Br
_space_group_name_H-M_alt 'P 4/m m m'
_space_group_IT_number 123
_space_group_name_Hall '-P 4 2'
_cell_length_a 4.456
_cell_length_b 4.456
_cell_length_c 4.867
_cell_angle_alpha 90.00
_cell_angle_beta 90.00
_cell_angle_gamma 90.00
loop_
_atom_site_label
_atom_site_type_symbol
_atom_site_fract_x
_atom_site_fract_y
_atom_site_fract_z
_atom_site_occupancy
Be1 Be 0.000 0.000 0.000 1
Tc1 Tc 0.500 0.500 0.500 1
As1 As 0.000 0.500 0.000 1
Br1 Br 0.000 0.000 0.500 1
```

ΔE_f (raw) in meV per atom: 914
E above lowest polymorph in meV per atom: 110.8

---

[10]
First-principles (PBE-GGA) data for a geometry-optimized KInS2N structure, as listed in Alexandria.

Structure (CIF):
```
data_KInS2N
_space_group_name_H-M_alt 'P 4/m m m'
_space_group_IT_number 123
_space_group_name_Hall '-P 4 2'
_cell_length_a 5.429
_cell_length_b 5.429
_cell_length_c 4.429
_cell_angle_alpha 90.00
_cell_angle_beta 90.00
_cell_angle_gamma 90.00
loop_
_atom_site_label
_atom_site_type_symbol
_atom_site_fract_x
_atom_site_fract_y
_atom_site_fract_z
_atom_site_occupancy
K1 K 0.000 0.000 0.000 1
In1 In 0.500 0.500 0.500 1
S1 S 0.000 0.500 0.500 1
N1 N 0.500 0.500 0.000 1
```

ΔE_f (raw) in meV per atom: 338
E above lowest polymorph in meV per atom: 0.0

---

[11]
First-principles (PBE-GGA) data for a geometry-optimized Cu2Ru structure, as listed in Alexandria.

Structure (CIF):
```
data_Cu2Ru
_space_group_name_H-M_alt 'C 1 m 1'
_space_group_IT_number 8
_cell_length_a 9.808
_cell_length_b 2.614
_cell_length_c 6.270
_cell_angle_alpha 90.00
_cell_angle_beta 105.70
_cell_angle_gamma 90.00
loop_
_space_group_symop_operation_xyz
'x,y,z'
'x,-y,z'
'x+1/2,y+1/2,z'
'x+1/2,-y+1/2,z'
loop_
_atom_site_label
_atom_site_type_symbol
_atom_site_fract_x
_atom_site_fract_y
_atom_site_fract_z
_atom_site_occupancy
Cu1 Cu 0.000 0.000 0.000 1
Cu2 Cu 0.046 0.000 0.610 1
Cu3 Cu 0.157 0.500 0.342 1
Cu4 Cu 0.328 0.000 0.663 1
Ru1 Ru 0.220 0.500 0.942 1
Ru2 Ru 0.378 0.000 0.272 1
```

E above lowest polymorph in meV per atom: 97.2
E_form in kJ/mol of atoms: 22.8

---

[12]
First-principles (PBE-GGA) data for a geometry-optimized AcLaIrPt structure, as listed in Alexandria.

Structure (CIF):
```
data_AcLaIrPt
_space_group_name_H-M_alt 'A m m 2'
_space_group_IT_number 38
_cell_length_a 4.442
_cell_length_b 4.090
_cell_length_c 11.441
_cell_angle_alpha 90.00
_cell_angle_beta 90.00
_cell_angle_gamma 90.00
loop_
_space_group_symop_operation_xyz
'x,y,z'
'-x,-y,z'
'-x,y,z'
'x,-y,z'
'x,y+1/2,z+1/2'
'-x,-y+1/2,z+1/2'
'-x,y+1/2,z+1/2'
'x,-y+1/2,z+1/2'
loop_
_atom_site_label
_atom_site_type_symbol
_atom_site_fract_x
_atom_site_fract_y
_atom_site_fract_z
_atom_site_occupancy
Ac1 Ac 0.000 0.000 0.000 1
La1 La 0.500 0.000 0.726 1
Ir1 Ir 0.000 0.000 0.268 1
Pt1 Pt 0.500 0.000 0.447 1
```

E above lowest polymorph in meV per atom: 0.0
E_form in kJ/mol of atoms: -88.3

---

[13]
First-principles (PBE-GGA) data for a geometry-optimized Ba2MgTlRh structure, as listed in Alexandria.

Structure (CIF):
```
data_Ba2MgTlRh
_space_group_name_H-M_alt 'P 4/m m m'
_space_group_IT_number 123
_space_group_name_Hall '-P 4 2'
_cell_length_a 6.046
_cell_length_b 6.046
_cell_length_c 5.055
_cell_angle_alpha 90.00
_cell_angle_beta 90.00
_cell_angle_gamma 90.00
loop_
_atom_site_label
_atom_site_type_symbol
_atom_site_fract_x
_atom_site_fract_y
_atom_site_fract_z
_atom_site_occupancy
Ba1 Ba 0.000 0.500 0.000 1
Mg1 Mg 0.000 0.000 0.500 1
Tl1 Tl 0.500 0.500 0.500 1
Rh1 Rh 0.000 0.000 0.000 1
```

E above lowest polymorph in meV per atom: 0.0
E_form in kJ/mol of atoms: -17.1